[1]
# TmInPO

A relaxed TmInPO crystal (PBE, OQMD).

abc: 4.5398 4.5398 7.6156
angles: 90.00 90.00 90.00
With the nearest neighbours (Å) after each atom.
Positions (direct):
Tm  0.2500  0.7500  0.0000  4 P 2.68
Tm  0.7500  0.2500  0.0000  4 P 2.68
In  0.2500  0.2500  0.4054  4 O 2.38
In  0.7500  0.7500  0.5946  4 O 2.38
P  0.2500  0.2500  0.8122  4 Tm 2.68
P  0.7500  0.7500  0.1878  4 Tm 2.68
O  0.2500  0.7500  0.5000  4 In 2.38
O  0.7500  0.2500  0.5000  4 In 2.38

Values from the calculation:
Its space group is P4/nmm. The calculation puts the energy relative to the lowest polymorph listed for this composition at 660 meV/atom. The total magnetization comes out at 0.05 μB/f.u.

---

[2]
# ZnInPO

A relaxed ZnInPO crystal (PBE, OQMD).

abc: 3.8708 3.8708 8.6710
angles: 90.00 90.00 90.00
With the nearest neighbours (Å) after each atom.
Positions (direct):
Zn  0.2500  0.7500  0.0000  4 P 2.47, 4 Zn 2.74
Zn  0.7500  0.2500  0.0000  4 P 2.47, 4 Zn 2.74
In  0.2500  0.2500  0.3799  4 O 2.20
In  0.7500  0.7500  0.6201  4 O 2.20
P  0.2500  0.2500  0.8224  4 Zn 2.47
P  0.7500  0.7500  0.1776  4 Zn 2.47
O  0.2500  0.7500  0.5000  4 In 2.20
O  0.7500  0.2500  0.5000  4 In 2.20

Values from the calculation:
Its space group is P4/nmm.

---

[3]
# ZnInPO

A relaxed ZnInPO crystal (PBE, OQMD).

abc: 4.1716 4.1716 8.9329
angles: 90.00 90.00 90.00
With the nearest neighbours (Å) after each atom.
Positions (direct):
Zn  0.2500  0.2500  0.0267  4 O 2.10
Zn  0.7500  0.7500  0.9733  4 O 2.10
In  0.2500  0.7500  0.5000  4 P 2.64, 4 In 2.95
In  0.7500  0.2500  0.5000  4 P 2.64, 4 In 2.95
P  0.2500  0.2500  0.3192  1 Zn 2.61, 4 In 2.64
P  0.7500  0.7500  0.6808  1 Zn 2.61, 4 In 2.64
O  0.2500  0.7500  0.0000  4 Zn 2.10
O  0.7500  0.2500  0.0000  4 Zn 2.10

Values from the calculation:
Its space group is P4/nmm.

---

[4]
# ZnInPO

A relaxed ZnInPO crystal (PBE, OQMD).

abc: 3.8897 6.1915 6.1219
angles: 90.00 90.00 90.00
With the nearest neighbours (Å) after each atom.
Positions (direct):
Zn  0.0000  0.1885  0.0000  2 O 2.21, 2 P 2.34-2.35
Zn  0.0000  0.8115  0.5000  2 O 2.21, 2 P 2.34-2.35
In  0.5000  0.3471  0.5578  2 O 2.16-2.19
In  0.5000  0.6529  0.0578  2 O 2.16-2.19
P  0.0000  0.1724  0.3816  2 Zn 2.34-2.35, 2 In 2.47
P  0.0000  0.8276  0.8816  2 Zn 2.34-2.35, 2 In 2.47
O  0.5000  0.3316  0.9098  2 In 2.16-2.19, 2 Zn 2.21
O  0.5000  0.6684  0.4098  2 In 2.16-2.19, 2 Zn 2.21

Values from the calculation:
Its space group is Pmc2_1.

---

[5]
# ZnInPO

A relaxed ZnInPO crystal (PBE, OQMD).

abc: 3.9128 6.2509 5.9142
angles: 90.00 90.00 90.00
With the nearest neighbours (Å) after each atom.
Positions (direct):
Zn  0.0000  0.1425  0.0000  2 O 2.07-2.08, 2 P 2.31
Zn  0.0000  0.8575  0.5000  2 O 2.07-2.08, 2 P 2.31
In  0.5000  0.3054  0.4427  2 O 2.23
In  0.5000  0.6946  0.9427  2 O 2.23
P  0.5000  0.2950  0.8706  2 Zn 2.31, 2 In 2.53
P  0.5000  0.7050  0.3706  2 Zn 2.31, 2 In 2.53
O  0.0000  0.1573  0.3510  2 Zn 2.07-2.08, 2 In 2.23
O  0.0000  0.8427  0.8510  2 Zn 2.07-2.08, 2 In 2.23

Values from the calculation:
Its space group is Pmc2_1.

---

[6]
# ZrInPO

A relaxed ZrInPO crystal (PBE, OQMD).

abc: 4.5964 4.5964 6.4086
angles: 90.00 90.00 90.00
With the nearest neighbours (Å) after each atom.
Positions (direct):
Zr  0.2500  0.7500  0.0000  4 P 2.58
Zr  0.7500  0.2500  0.0000  4 P 2.58
In  0.2500  0.2500  0.4031  4 O 2.38, 1 P 2.66
In  0.7500  0.7500  0.5969  4 O 2.38, 1 P 2.66
P  0.2500  0.2500  0.8186  4 Zr 2.58, 1 In 2.66
P  0.7500  0.7500  0.1814  4 Zr 2.58, 1 In 2.66
O  0.2500  0.7500  0.5000  4 In 2.38
O  0.7500  0.2500  0.5000  4 In 2.38

Values from the calculation:
Its space group is P4/nmm. The calculation puts the energy relative to the lowest polymorph listed for this composition at 417 meV/atom. The total magnetization comes out at 0.00 μB/f.u.

---

Number 1: E_tot -5.144 eV/atom. Number 2: E_tot -4.088 eV/atom. Number 3: E_tot -3.985 eV/atom. Number 4: E_tot -4.250 eV/atom. Number 5: E_tot -4.295 eV/atom. Number 6: E_tot -6.256 eV/atom.